Density functional theory data (PBE) for an optimized crystal structure of BaTiSn2Hg.

a = 5.324 Å, b = 5.324 Å, c = 5.488 Å
α = 90.00°, β = 90.00°, γ = 90.00°
Positions (direct):
Ba 0.000 0.000 0.000
Ti 0.500 0.500 0.500
Sn 0.000 0.500 0.500
Sn 0.500 0.000 0.500
Hg 0.500 0.500 0.000

Output
- Space group: P4/mmm, No. 123
- Formation energy: -0.322 eV per atom
- N(E_F): 2.13 states/eV per cell
- Magnetization: 0.088 μB/atom